Record 1
4
Lattice="4.195 0.000 0.000 2.098 3.633 0.000 2.098 1.211 8.188" Properties=species:S:1:pos:R:3 comment="Ba2IO (PBE, optimized geometry)" final_energy_ev_per_fu=-17.64 pbc="T T T"
I 4.195 2.422 4.094
Ba 6.293 3.633 6.729
Ba 2.098 1.211 1.458
O 0.000 0.000 0.000

Record 2
5
Lattice="4.569 0.000 0.000 0.000 4.569 0.000 0.000 0.000 6.398" Properties=species:S:1:pos:R:3 comment="BaI2O2 (PBE, optimized geometry)" final_energy_ev_per_fu=-17.10 pbc="T T T"
I 0.000 2.285 0.000
I 2.285 0.000 0.000
Ba 2.285 2.285 3.199
O 0.000 0.000 0.000
O 0.000 0.000 3.199

Record 3
9
Lattice="5.190 0.002 2.995 1.727 4.894 2.995 0.000 0.000 5.994" Properties=species:S:1:pos:R:3 comment="Ba2IO6 (PBE, optimized geometry)" final_energy_ev_per_fu=-48.92 pbc="T T T"
Ba 1.729 1.224 2.995
Ba 5.188 3.672 8.988
I 3.459 2.448 5.992
O 1.910 1.352 5.989
O 2.685 3.544 4.650
O 4.232 1.351 7.333
O 4.235 1.354 4.650
O 2.682 3.542 7.333
O 5.007 3.544 5.994

Record 4
9
Lattice="4.353 0.000 -0.174 0.000 5.907 0.000 -1.945 -2.954 5.876" Properties=species:S:1:pos:R:3 comment="Ba2IO6 (PBE, optimized geometry)" final_energy_ev_per_fu=-45.20 pbc="T T T"
Ba 2.252 2.954 1.806
Ba 0.156 0.000 3.895
I 0.000 0.000 0.000
O 0.057 1.301 1.430
O 2.351 -1.653 4.271
O 2.351 1.653 4.271
O 2.177 1.015 -0.087
O 0.057 4.606 1.430
O 2.177 4.892 -0.087

Record 5
12
Lattice="4.444 0.000 0.000 -2.222 8.401 0.548 0.000 -3.004 12.106" Properties=species:S:1:pos:R:3 comment="Ba5I5O2 (PBE, optimized geometry)" final_energy_ev_per_fu=-50.74 pbc="T T T"
Ba 0.000 0.728 4.169
Ba 2.222 -0.489 9.545
Ba 0.000 5.886 3.109
Ba 2.222 4.669 8.485
Ba 0.000 0.000 0.000
I 2.222 -1.502 6.053
I 2.222 2.462 1.100
I 2.222 3.617 4.854
I 0.000 1.780 7.800
I 0.000 2.935 11.554
O 0.000 -1.922 9.674
O 2.222 7.319 2.980

Record 6
5
Lattice="4.488 0.000 0.000 0.000 4.488 0.000 2.244 2.244 7.441" Properties=species:S:1:pos:R:3 comment="Ba2IO2 (PBE, optimized geometry)" final_energy_ev_per_fu=-25.41 pbc="T T T"
I 0.000 0.000 0.000
Ba 2.244 2.244 2.412
Ba 4.488 4.488 5.029
O 4.488 2.244 3.720
O 2.244 4.488 3.720

Record 7
8
Lattice="6.082 0.000 0.000 0.000 6.082 0.000 3.041 3.041 9.386" Properties=species:S:1:pos:R:3 comment="BaI2O (PBE, optimized geometry)" final_energy_ev_per_fu=-12.26 pbc="T T T"
I 4.227 1.520 2.346
I 1.855 4.561 2.346
I 4.561 4.895 7.039
I 7.602 7.268 7.039
Ba 0.000 0.000 0.000
Ba 6.082 3.041 4.693
O 3.041 3.041 0.000
O 3.041 6.082 4.693

Record 8
16
Lattice="-1.906 0.307 -8.352 8.612 -4.467 2.269 -4.021 -7.425 0.644" Properties=species:S:1:pos:R:3 comment="Ba2IO (PBE, optimized geometry)" final_energy_ev_per_fu=-18.07 pbc="T T T"
Ba -1.226 -2.952 -4.228
Ba 3.912 -8.632 -1.210
Ba 2.264 -9.762 -5.275
Ba 0.422 -1.822 -0.163
Ba 4.173 -4.964 -3.335
Ba -2.440 -6.467 -6.280
Ba -1.487 -6.621 -2.104
Ba 5.126 -5.117 0.841
I 2.258 -2.032 -4.989
I 0.427 -9.552 -0.449
I 1.171 -6.265 -4.897
I 1.515 -5.320 -0.541
O 5.107 -4.597 -5.734
O -2.421 -6.988 0.295
O -2.474 -5.172 -4.025
O 5.160 -6.412 -1.414

Record 9
14
Lattice="7.032 0.000 0.000 0.000 9.685 -0.977 0.000 -0.581 9.717" Properties=species:S:1:pos:R:3 comment="Ba3I3O (PBE, optimized geometry)" final_energy_ev_per_fu=-28.25 pbc="T T T"
Ba 5.274 4.867 6.965
Ba 5.274 1.946 4.161
Ba 5.274 0.852 8.223
Ba 1.758 4.237 1.775
Ba 1.758 7.158 4.580
Ba 1.758 8.252 0.517
I 1.758 5.159 7.815
I 1.758 1.086 3.904
I 1.758 0.506 8.585
I 5.274 3.945 0.926
I 5.274 8.018 4.836
I 5.274 8.598 0.155
O 5.274 2.518 6.489
O 1.758 6.586 2.252

Record 10
13
Lattice="7.360 0.000 0.000 0.000 7.360 0.000 0.000 0.000 7.360" Properties=species:S:1:pos:R:3 comment="Ba6IO6 (PBE, optimized geometry)" final_energy_ev_per_fu=-72.43 pbc="T T T"
Ba 1.789 0.000 3.680
Ba 0.000 3.680 1.789
Ba 0.000 3.680 5.572
Ba 3.680 5.572 0.000
Ba 3.680 1.789 0.000
Ba 5.572 0.000 3.680
I 0.000 0.000 0.000
O 1.911 3.680 0.000
O 3.680 0.000 1.911
O 3.680 0.000 5.450
O 0.000 5.450 3.680
O 0.000 1.911 3.680
O 5.450 3.680 0.000

Record 11
16
Lattice="4.604 0.000 0.000 0.000 9.825 0.000 0.000 0.000 12.281" Properties=species:S:1:pos:R:3 comment="BaI2O (PBE, optimized geometry)" final_energy_ev_per_fu=-15.52 pbc="T T T"
I 3.453 1.309 1.252
I 3.453 6.221 4.888
I 1.151 8.517 11.028
I 1.151 3.604 7.393
I 3.453 0.488 7.975
I 3.453 5.401 10.446
I 1.151 9.338 4.306
I 1.151 4.425 1.834
Ba 1.151 2.233 10.775
Ba 1.151 7.146 7.646
Ba 3.453 7.592 1.506
Ba 3.453 2.680 4.635
O 3.453 3.428 10.512
O 3.453 8.341 7.909
O 1.151 6.398 1.769
O 1.151 1.485 4.371

Record 12
8
Lattice="-1.294 3.908 0.292 -3.109 -1.608 7.736 6.299 1.867 2.920" Properties=species:S:1:pos:R:3 comment="Ba2IO (PBE, optimized geometry)" final_energy_ev_per_fu=-17.13 pbc="T T T"
Ba 2.553 0.292 7.398
Ba 3.139 2.854 4.863
Ba -0.465 -0.603 5.999
Ba -0.141 1.882 3.343
I -3.566 0.444 7.410
I 2.960 0.835 1.932
O 0.714 1.962 6.056
O -1.321 -0.683 3.286

Record 13
8
Lattice="-1.694 -7.154 -0.807 4.892 -1.752 5.263 -2.675 -3.910 6.382" Properties=species:S:1:pos:R:3 comment="Ba2IO (PBE, optimized geometry)" final_energy_ev_per_fu=-17.54 pbc="T T T"
I 0.000 0.000 0.000
I -1.385 -7.758 3.901
Ba -0.933 -4.895 1.836
Ba 1.994 -3.740 4.697
Ba -0.279 -6.461 7.026
Ba 0.263 -10.536 8.116
O 1.599 -4.453 2.228
O 1.908 -5.057 6.936

Record 14
12
Lattice="-0.404 2.280 -3.660 -2.889 -3.271 -1.719 -7.055 6.921 5.090" Properties=species:S:1:pos:R:3 comment="Ba3I2O7 (PBE, optimized geometry)" final_energy_ev_per_fu=-59.74 pbc="T T T"
Ba -1.647 -0.495 -2.690
Ba -4.701 1.404 -1.170
Ba -5.648 4.527 0.880
I -8.201 2.566 2.503
I -1.744 1.084 0.868
O -6.789 4.222 3.379
O -6.611 1.577 1.712
O 0.000 0.000 0.000
O -3.155 -0.572 -0.008
O -1.947 2.225 -0.962
O -8.401 3.705 0.673
O -3.333 2.073 1.659

Record 15
4
Lattice="2.424 0.000 5.002 -1.212 2.099 5.002 -1.212 -2.099 5.002" Properties=species:S:1:pos:R:3 comment="BaIO2 (PBE, optimized geometry)" final_energy_ev_per_fu=-16.64 pbc="T T T"
I 0.000 0.000 7.503
Ba 0.000 0.000 0.000
O 0.000 0.000 11.465
O 0.000 0.000 3.542

Record 16
10
Lattice="-2.761 -2.777 2.149 3.712 -6.058 -3.061 4.870 4.296 7.168" Properties=species:S:1:pos:R:3 comment="Ba2IO2 (PBE, optimized geometry)" final_energy_ev_per_fu=-25.42 pbc="T T T"
Ba -0.102 -2.623 3.437
Ba 3.131 -4.267 0.836
Ba 5.922 -1.917 2.819
Ba 2.690 -0.272 5.420
I 0.711 -6.628 -0.683
I 0.240 -2.207 -0.229
O 4.301 0.116 3.347
O 1.049 -0.233 3.361
O 1.520 -4.656 2.909
O 4.771 -4.307 2.894

Record 17
5
Lattice="-3.532 4.946 3.641 -2.829 -5.038 4.099 3.474 0.375 2.859" Properties=species:S:1:pos:R:3 comment="BaI2O2 (PBE, optimized geometry)" final_energy_ev_per_fu=-14.91 pbc="T T T"
I -1.415 -2.519 2.050
I -1.766 2.473 1.821
Ba 0.000 0.000 0.000
O -1.443 0.141 5.300
O 1.737 0.188 1.430

Record 18
7
Lattice="5.959 0.000 0.000 0.000 5.959 0.000 -2.980 -2.980 8.054" Properties=species:S:1:pos:R:3 comment="Ba4I2O (PBE, optimized geometry)" final_energy_ev_per_fu=-24.45 pbc="T T T"
I 2.980 2.980 1.885
I 0.000 0.000 6.169
Ba 2.980 2.980 5.377
Ba 0.000 0.000 2.677
Ba 0.000 2.980 0.000
Ba 2.980 0.000 0.000
O 0.000 0.000 0.000

Record 19
4
Lattice="2.379 0.000 6.644 -1.189 2.060 6.644 -1.189 -2.060 6.644" Properties=species:S:1:pos:R:3 comment="BaIO2 (PBE, optimized geometry)" final_energy_ev_per_fu=-19.10 pbc="T T T"
I 0.000 0.000 0.000
Ba 0.000 0.000 9.966
O 0.000 0.000 17.852
O 0.000 0.000 2.080

Record 20
4
Lattice="0.000 3.472 3.472 3.472 0.000 3.472 3.472 3.472 0.000" Properties=species:S:1:pos:R:3 comment="BaIO2 (PBE, optimized geometry)" final_energy_ev_per_fu=-16.11 pbc="T T T"
I 0.000 0.000 0.000
Ba 3.472 3.472 3.472
O 1.736 1.736 1.736
O 5.208 5.208 5.208

Record 21
5
Lattice="4.527 0.000 0.000 0.000 4.527 0.000 0.000 0.000 6.917" Properties=species:S:1:pos:R:3 comment="BaI2O2 (PBE, optimized geometry)" final_energy_ev_per_fu=-17.43 pbc="T T T"
I 0.000 0.000 0.000
I 0.000 0.000 3.459
Ba 2.264 2.264 3.459
O 0.000 2.264 0.000
O 2.264 0.000 0.000

Record 22
14
Lattice="2.631 3.815 0.773 1.371 -4.003 7.331 4.959 -1.239 -7.236" Properties=species:S:1:pos:R:3 comment="BaIO5 (PBE, optimized geometry)" final_energy_ev_per_fu=-33.73 pbc="T T T"
Ba 1.327 -0.672 2.125
Ba 7.635 -0.755 -1.258
I 3.982 -0.805 -1.903
I 4.979 -0.622 2.769
O 2.969 -3.340 5.355
O 5.992 1.913 -4.488
O 3.046 -2.119 4.947
O 5.915 0.692 -4.080
O 5.507 -1.944 -2.531
O 3.454 0.517 3.398
O 6.066 -3.810 0.631
O 2.896 2.383 0.236
O 2.833 1.097 0.326
O 6.128 -2.524 0.541

Record 23
5
Lattice="-1.486 -3.250 4.265 5.353 -1.154 0.986 0.309 4.367 3.435" Properties=species:S:1:pos:R:3 comment="Ba3IO (PBE, optimized geometry)" final_energy_ev_per_fu=-18.35 pbc="T T T"
I 2.088 -0.019 4.343
Ba 2.677 -0.577 0.493
Ba 0.154 2.183 1.717
Ba -0.743 -1.625 2.133
O 0.000 0.000 0.000

Record 24
9
Lattice="4.118 0.000 0.000 2.059 5.593 -0.198 2.059 2.129 7.452" Properties=species:S:1:pos:R:3 comment="BaI2O6 (PBE, optimized geometry)" final_energy_ev_per_fu=-43.64 pbc="T T T"
Ba 2.059 3.861 3.627
I 4.118 6.180 6.201
I 4.118 1.542 1.053
O 6.177 5.925 6.343
O 2.059 1.797 0.911
O 6.177 5.388 1.375
O 4.118 5.326 4.569
O 2.059 2.335 5.879
O 4.118 2.396 2.685

Per-record volume, A^3/atom: 31.20; 26.72; 16.91; 16.56; 38.27; 29.97; 43.39; 40.81; 46.99; 30.67; 34.72; 31.49; 40.92; 18.40; 19.09; 29.66; 45.32; 40.86; 24.41; 20.92; 28.36; 20.76; 34.45; 19.26